Density functional theory data (PBE) for an optimized crystal structure of PmSnPt4.

Lattice parameters (Å, degrees): 5.449 5.449 5.449 60.00 60.00 60.00
Element x y z (fractional)
Pt (0.124, 0.625, 0.625)
Pt (0.625, 0.625, 0.124)
Pt (0.625, 0.124, 0.625)
Pt (0.625, 0.625, 0.625)
Pm (0.250, 0.250, 0.250)
Sn (0.000, 0.000, 0.000)

Values from the calculation:
Density of states at the Fermi level in states/eV per cell: 4.19
Formation energy in eV per atom: -0.76
Energy relative to the lowest polymorph listed for this composition in eV per formula unit: 0.062